A plane-wave DFT calculation with PBE was carried out for a relaxed structure of TiP2SeO.

Cell and atoms, written as CIF:
```
data_TiP2SeO
_chemical_formula_sum 'Ti1 P2 Se1 O1'
_space_group_name_H-M_alt 'P 4/m m m'
_space_group_IT_number 123
_space_group_name_Hall '-P 4 2'
_cell_length_a 4.9307
_cell_length_b 4.9307
_cell_length_c 3.6741
_cell_angle_alpha 90.00
_cell_angle_beta 90.00
_cell_angle_gamma 90.00
loop_
_atom_site_label
_atom_site_type_symbol
_atom_site_fract_x
_atom_site_fract_y
_atom_site_fract_z
_atom_site_occupancy
Ti1 Ti 0.0000 0.0000 0.0000 1
P1 P 0.0000 0.5000 0.0000 1
Se1 Se 0.5000 0.5000 0.5000 1
O1 O 0.0000 0.0000 0.5000 1
```

Output
The total energy comes out at -5.805 eV per atom. The calculation puts the size of the total moment at 0.0 Bohr magnetons per cell. The crystal system is tetragonal. The calculation puts the energy relative to the elements, uncorrected at -374 meV per atom.